# 1
First-principles (PBE) data for crystalline Ac4TlPSe2 at its relaxed geometry, as listed in Alexandria via LeMat-Bulk.

CIF file:
```
data_Ac4TlPSe2
_cell_length_a 7.9225
_cell_length_b 4.4983
_cell_length_c 7.9971
_cell_angle_alpha 90.00
_cell_angle_beta 109.02
_cell_angle_gamma 90.00
_space_group_name_H-M_alt 'P 1 2/m 1'
_space_group_IT_number 10
loop_
_space_group_symop_operation_xyz
'x,y,z'
'-x,-y,-z'
'-x,y,-z'
'x,-y,z'
loop_
_atom_site_label
_atom_site_fract_x
_atom_site_fract_y
_atom_site_fract_z
_atom_site_occupancy
Ac1 0.2399 0.0000 0.2361 1
Ac2 0.2519 0.5000 0.7617 1
Tl1 0.0000 0.0000 0.5000 1
P1 0.0000 0.5000 0.0000 1
Se1 0.5000 0.0000 0.0000 1
Se2 0.5000 0.5000 0.5000 1
```



# 2
First-principles (PBE) data for crystalline AcYPSe at its relaxed geometry, as listed in Alexandria via LeMat-Bulk.

CIF file:
```
data_AcYPSe
_cell_length_a 4.2157
_cell_length_b 4.2157
_cell_length_c 21.2660
_cell_angle_alpha 90.00
_cell_angle_beta 90.00
_cell_angle_gamma 120.00
_space_group_name_H-M_alt 'R 3 m'
_space_group_IT_number 160
_space_group_name_Hall 'R 3 -2"'
loop_
_atom_site_label
_atom_site_fract_x
_atom_site_fract_y
_atom_site_fract_z
_atom_site_occupancy
Ac1 0.0000 0.0000 0.0000 1
Y1 0.0000 0.0000 0.4870 1
P1 0.0000 0.0000 0.7520 1
Se1 0.0000 0.0000 0.2356 1
```



# 3
First-principles (PBE) data for crystalline Ac4ZnPSe2 at its relaxed geometry, as listed in Alexandria via LeMat-Bulk.

CIF file:
```
data_Ac4ZnPSe2
_cell_length_a 7.8359
_cell_length_b 4.4343
_cell_length_c 7.8581
_cell_angle_alpha 90.00
_cell_angle_beta 108.93
_cell_angle_gamma 90.00
_space_group_name_H-M_alt 'P 1 2/m 1'
_space_group_IT_number 10
loop_
_space_group_symop_operation_xyz
'x,y,z'
'-x,-y,-z'
'-x,y,-z'
'x,-y,z'
loop_
_atom_site_label
_atom_site_fract_x
_atom_site_fract_y
_atom_site_fract_z
_atom_site_occupancy
Ac1 0.2393 0.0000 0.2385 1
Ac2 0.2446 0.5000 0.7540 1
Zn1 0.0000 0.0000 0.5000 1
P1 0.0000 0.5000 0.0000 1
Se1 0.5000 0.0000 0.0000 1
Se2 0.5000 0.5000 0.5000 1
```



# 4
First-principles (PBE) data for crystalline AcSi2P at its relaxed geometry, as listed in Alexandria via LeMat-Bulk.

CIF file:
```
data_AcSi2P
_cell_length_a 4.3036
_cell_length_b 4.3036
_cell_length_c 4.6763
_cell_angle_alpha 90.00
_cell_angle_beta 90.00
_cell_angle_gamma 90.00
_space_group_name_H-M_alt 'P 4/m m m'
_space_group_IT_number 123
_space_group_name_Hall '-P 4 2'
loop_
_atom_site_label
_atom_site_fract_x
_atom_site_fract_y
_atom_site_fract_z
_atom_site_occupancy
Ac1 0.0000 0.0000 0.0000 1
Si1 0.0000 0.5000 0.5000 1
P1 0.5000 0.5000 0.0000 1
```



# 5
First-principles (PBE) data for crystalline AcSiP at its relaxed geometry, as listed in Alexandria via LeMat-Bulk.

CIF file:
```
data_AcSiP
_cell_length_a 8.2113
_cell_length_b 5.4867
_cell_length_c 7.9208
_cell_angle_alpha 90.00
_cell_angle_beta 109.69
_cell_angle_gamma 90.00
_space_group_name_H-M_alt 'C 1 2/m 1'
_space_group_IT_number 12
loop_
_space_group_symop_operation_xyz
'x,y,z'
'-x,-y,-z'
'-x,y,-z'
'x,-y,z'
'x+1/2,y+1/2,z'
'-x+1/2,-y+1/2,-z'
'-x+1/2,y+1/2,-z'
'x+1/2,-y+1/2,z'
loop_
_atom_site_label
_atom_site_fract_x
_atom_site_fract_y
_atom_site_fract_z
_atom_site_occupancy
Ac1 0.1022 0.0000 0.2711 1
Si1 0.1541 0.5000 0.0200 1
P1 0.2391 0.0000 0.6738 1
```



# 6
First-principles (PBE) data for crystalline AcSiP2 at its relaxed geometry, as listed in Alexandria via LeMat-Bulk.

CIF file:
```
data_AcSiP2
_cell_length_a 4.7563
_cell_length_b 4.7563
_cell_length_c 20.9920
_cell_angle_alpha 90.00
_cell_angle_beta 90.00
_cell_angle_gamma 120.00
_space_group_name_H-M_alt 'R -3 m'
_space_group_IT_number 166
_space_group_name_Hall '-R 3 2"'
loop_
_atom_site_label
_atom_site_fract_x
_atom_site_fract_y
_atom_site_fract_z
_atom_site_occupancy
Ac1 0.0000 0.0000 0.0000 1
Si1 0.0000 0.0000 0.5000 1
P1 0.0000 0.0000 0.3996 1
```



The following density of states at the Fermi level values (in states/eV/cell) correspond, in order, to the records above: 3.59 5.03 7.57 2.20 2.21 9.44.
The following E_form (uncorrected) values (in eV/atom) correspond, in order, to the records above: -1.355 -1.745 -1.325 -0.103 -0.722 -0.168.